Entry 1:
Entry from Alexandria: an optimized crystal structure of Bi4Pd2Pt (PBE-GGA).

Crystal system = monoclinic
E = -4.816 eV per atom
D(E_F) = 7.7 states/eV per cell
ΔE_f = -0.252 eV/atom
Energy above the lowest structure with this stoichiometry = 4 meV per atom

Unit cell a=13.362 b=4.283 c=7.202 alpha=90.00 beta=121.19 gamma=90.00
Space group C2/m (No. 12)
Asymmetric unit:
Bi  0.115  0.000  0.463 x4
Bi  0.128  0.500  0.962 x4
Pd  0.244  0.500  0.725 x4
Pt  0.000  0.000  0.000 x2

Entry 2:
Entry from Alexandria: an optimized crystal structure of Bi8Pd5Pt (PBE-GGA).

Crystal system = tetragonal
E = -4.668 eV per atom
D(E_F) = 9.0 states/eV per cell
ΔE_f = -0.164 eV/atom

Unit cell a=8.741 b=8.741 c=8.765 alpha=90.00 beta=90.00 gamma=90.00
Space group I-4 (No. 82)
Asymmetric unit:
Bi  0.066  0.316  0.445 x8
Bi  0.071  0.180  0.808 x8
Pd  0.000  0.500  0.750 x2
Pd  0.131  0.248  0.127 x8
Pt  0.000  0.000  0.500 x2

Entry 3:
Entry from Alexandria: an optimized crystal structure of Bi6PdPt (PBE-GGA).

Crystal system = trigonal
E = -4.445 eV per atom
D(E_F) = 11.6 states/eV per cell
ΔE_f = -0.130 eV/atom
Energy above the lowest structure with this stoichiometry = 31 meV per atom

Unit cell a=6.9621 b=6.9621 c=16.0989 alpha=90.00 beta=90.00 gamma=120.00
Space group R-3 (No. 148, hexagonal axes)
Asymmetric unit:
Bi  0.0039  0.2933  0.2515 x18
Pd  0.0000  0.0000  0.0000 x3
Pt  0.0000  0.0000  0.5000 x3

Entry 4:
Entry from Alexandria: an optimized crystal structure of Bi2PdPt2 (PBE-GGA).

Crystal system = trigonal
E = -5.246 eV per atom
D(E_F) = 5.9 states/eV per cell
ΔE_f = -0.239 eV/atom
Energy above the lowest structure with this stoichiometry = 0 meV per atom

Unit cell a=4.2589 b=4.2589 c=20.9080 alpha=90.00 beta=90.00 gamma=120.00
Space group R-3m (No. 166, hexagonal axes)
Asymmetric unit:
Bi  0.0000  0.0000  0.0913 x6
Pd  0.0000  0.0000  0.5000 x3
Pt  0.0000  0.0000  0.3635 x6

Entry 5:
Entry from Alexandria: an optimized crystal structure of BiPd2Pt (PBE-GGA).

Crystal system = tetragonal
E = -5.109 eV per atom
D(E_F) = 9.5 states/eV per cell
ΔE_f = -0.032 eV/atom

Unit cell a=4.002 b=4.002 c=19.368 alpha=90.00 beta=90.00 gamma=90.00
Space group I-42d (No. 122)
Asymmetric unit:
Bi  0.000  0.000  0.000 x4
Pd  0.236  0.250  0.625 x8
Pt  0.000  0.000  0.500 x4

Entry 6:
Entry from Alexandria: an optimized crystal structure of BiPd2Pt4 (PBE-GGA).

Crystal system = monoclinic
E = -5.577 eV per atom
D(E_F) = 13.1 states/eV per cell
ΔE_f = -0.087 eV/atom

Unit cell a=8.741 b=4.105 c=6.689 alpha=90.00 beta=99.93 gamma=90.00
Space group C2/m (No. 12)
Asymmetric unit:
Bi  0.000  0.000  0.000 x2
Pd  0.213  0.500  0.145 x4
Pt  0.073  0.500  0.698 x4
Pt  0.144  0.000  0.436 x4

Entry 7:
Entry from Alexandria: an optimized crystal structure of Bi4PdPt (PBE-GGA).

Crystal system = tetragonal
E = -4.635 eV per atom
D(E_F) = 6.4 states/eV per cell
ΔE_f = -0.176 eV/atom
Energy above the lowest structure with this stoichiometry = 58 meV per atom

Unit cell a=7.099 b=7.099 c=5.958 alpha=90.00 beta=90.00 gamma=90.00
Space group I422 (No. 97)
Asymmetric unit:
Bi  0.167  0.333  0.250 x8
Pd  0.000  0.000  0.000 x2
Pt  0.000  0.000  0.500 x2

Entry 8:
Entry from Alexandria: an optimized crystal structure of Bi2Pd9Pt (PBE-GGA).

Crystal system = tetragonal
E = -5.215 eV per atom
D(E_F) = 13.8 states/eV per cell
ΔE_f = -0.170 eV/atom

Unit cell a=4.072 b=4.072 c=12.241 alpha=90.00 beta=90.00 gamma=90.00
Space group P4/mmm (No. 123)
Asymmetric unit:
Bi  0.000  0.000  0.178 x2
Pd  0.000  0.500  0.000 x2
Pd  0.000  0.500  0.341 x4
Pd  0.500  0.500  0.167 x2
Pd  0.500  0.500  0.500 x1
Pt  0.000  0.000  0.500 x1

Entry 9:
Entry from Alexandria: an optimized crystal structure of Bi2Pd5Pt (PBE-GGA).

Crystal system = orthorhombic
E = -5.164 eV per atom
D(E_F) = 13.3 states/eV per cell
ΔE_f = -0.193 eV/atom
Energy above the lowest structure with this stoichiometry = 0 meV per atom

Unit cell a=5.854 b=11.718 c=4.146 alpha=90.00 beta=90.00 gamma=90.00
Space group Pbam (No. 55)
Asymmetric unit:
Bi  0.244  0.126  0.000 x4
Pd  0.000  0.000  0.500 x2
Pd  0.009  0.749  0.500 x4
Pd  0.244  0.376  0.000 x4
Pt  0.000  0.500  0.500 x2

Entry 10:
Entry from Alexandria: an optimized crystal structure of BiPd3Pt (PBE-GGA).

Crystal system = monoclinic
E = -5.200 eV per atom
D(E_F) = 15.0 states/eV per cell
ΔE_f = -0.100 eV/atom
Energy above the lowest structure with this stoichiometry = 0 meV per atom

Unit cell a=6.228 b=6.166 c=10.773 alpha=90.00 beta=119.02 gamma=90.00
Space group P2_1/c (No. 14)
Asymmetric unit:
Bi  0.178  0.161  0.163 x4
Pd  0.064  0.062  0.391 x4
Pd  0.331  0.746  0.604 x4
Pd  0.458  0.648  0.887 x4
Pt  0.271  0.043  0.889 x4